1.
Entry from the Alexandria database: a geometry-optimized Ti3TlH structure (PBE).

Geometry as CIF:
```
data_Ti3TlH
_space_group_name_H-M_alt 'A m m 2'
_space_group_IT_number 38
_cell_length_a 2.874
_cell_length_b 5.378
_cell_length_c 14.392
_cell_angle_alpha 90.00
_cell_angle_beta 90.00
_cell_angle_gamma 90.00
loop_
_space_group_symop_operation_xyz
'x,y,z'
'-x,-y,z'
'-x,y,z'
'x,-y,z'
'x,y+1/2,z+1/2'
'-x,-y+1/2,z+1/2'
'-x,y+1/2,z+1/2'
'x,-y+1/2,z+1/2'
loop_
_atom_site_label
_atom_site_type_symbol
_atom_site_fract_x
_atom_site_fract_y
_atom_site_fract_z
Ti1 Ti 0.000 0.000 0.000
Ti2 Ti 0.500 0.246 0.368
Tl1 Tl 0.500 0.000 0.183
H1 H 0.000 0.000 0.865
```

Summary:
The magnetic moment is 0.000 Bohr magnetons per cell. The total energy is -5.350 eV per atom.

=====

2.
Entry from the Alexandria database: a geometry-optimized Ti3TlH structure (PBE).

Geometry as CIF:
```
data_Ti3TlH
_space_group_name_H-M_alt 'P 1 m 1'
_space_group_IT_number 6
_cell_length_a 4.853
_cell_length_b 6.412
_cell_length_c 4.865
_cell_angle_alpha 90.00
_cell_angle_beta 90.16
_cell_angle_gamma 90.00
loop_
_space_group_symop_operation_xyz
'x,y,z'
'x,-y,z'
loop_
_atom_site_label
_atom_site_type_symbol
_atom_site_fract_x
_atom_site_fract_y
_atom_site_fract_z
Ti1 Ti 0.000 0.000 0.000
Ti2 Ti 0.499 0.000 0.481
Ti3 Ti 0.499 0.237 0.004
Ti4 Ti 0.998 0.236 0.478
Tl1 Tl 0.000 0.500 0.981
Tl2 Tl 0.500 0.500 0.501
H1 H 0.150 0.000 0.646
H2 H 0.650 0.000 0.836
```

Summary:
The magnetic moment is 0.000 Bohr magnetons per cell. The total energy is -6.000 eV per atom.

=====

3.
Entry from the Alexandria database: a geometry-optimized TiTlH2 structure (PBE).

Geometry as CIF:
```
data_TiTlH2
_space_group_name_H-M_alt 'F m -3 m'
_space_group_IT_number 225
_space_group_name_Hall '-F 4 2 3'
_cell_length_a 5.735
_cell_length_b 5.735
_cell_length_c 5.735
_cell_angle_alpha 90.00
_cell_angle_beta 90.00
_cell_angle_gamma 90.00
loop_
_atom_site_label
_atom_site_type_symbol
_atom_site_fract_x
_atom_site_fract_y
_atom_site_fract_z
Ti1 Ti 0.000 0.000 0.000
Tl1 Tl 0.000 0.000 0.500
H1 H 0.250 0.250 0.250
```

Summary:
Its offset from the most stable computed form is 529 meV per atom. The magnetic moment is 0.000 Bohr magnetons per cell.

=====

4.
Entry from the Alexandria database: a geometry-optimized Ti7Tl2H2 structure (PBE).

Geometry as CIF:
```
data_Ti7Tl2H2
_space_group_name_H-M_alt 'C 1 2/m 1'
_space_group_IT_number 12
_cell_length_a 7.282
_cell_length_b 8.307
_cell_length_c 5.748
_cell_angle_alpha 90.00
_cell_angle_beta 97.86
_cell_angle_gamma 90.00
loop_
_space_group_symop_operation_xyz
'x,y,z'
'-x,-y,-z'
'-x,y,-z'
'x,-y,z'
'x+1/2,y+1/2,z'
'-x+1/2,-y+1/2,-z'
'-x+1/2,y+1/2,-z'
'x+1/2,-y+1/2,z'
loop_
_atom_site_label
_atom_site_type_symbol
_atom_site_fract_x
_atom_site_fract_y
_atom_site_fract_z
Ti1 Ti 0.000 0.000 0.000
Ti2 Ti 0.163 0.333 0.159
Ti3 Ti 0.164 0.500 0.667
Tl1 Tl 0.000 0.173 0.500
H1 H 0.249 0.500 0.993
```

Summary:
The magnetic moment is 0.001 Bohr magnetons per cell. The total energy is -6.097 eV per atom.

=====

5.
Entry from the Alexandria database: a geometry-optimized Ti3TlH structure (PBE).

Geometry as CIF:
```
data_Ti3TlH
_space_group_name_H-M_alt 'C 1 2/m 1'
_space_group_IT_number 12
_cell_length_a 13.467
_cell_length_b 4.563
_cell_length_c 5.654
_cell_angle_alpha 90.00
_cell_angle_beta 113.16
_cell_angle_gamma 90.00
loop_
_space_group_symop_operation_xyz
'x,y,z'
'-x,-y,-z'
'-x,y,-z'
'x,-y,z'
'x+1/2,y+1/2,z'
'-x+1/2,-y+1/2,-z'
'-x+1/2,y+1/2,-z'
'x+1/2,-y+1/2,z'
loop_
_atom_site_label
_atom_site_type_symbol
_atom_site_fract_x
_atom_site_fract_y
_atom_site_fract_z
Ti1 Ti 0.059 0.000 0.347
Ti2 Ti 0.102 0.500 0.677
Ti3 Ti 0.214 0.500 0.347
Tl1 Tl 0.162 0.000 0.005
H1 H 0.054 0.500 0.314
```

Summary:
The magnetic moment is 0.000 Bohr magnetons per cell. The total energy is -5.910 eV per atom.

=====

6.
Entry from the Alexandria database: a geometry-optimized Ti6Tl2H structure (PBE).

Geometry as CIF:
```
data_Ti6Tl2H
_space_group_name_H-M_alt 'C 1 2/m 1'
_space_group_IT_number 12
_cell_length_a 10.319
_cell_length_b 5.921
_cell_length_c 4.820
_cell_angle_alpha 90.00
_cell_angle_beta 90.28
_cell_angle_gamma 90.00
loop_
_space_group_symop_operation_xyz
'x,y,z'
'-x,-y,-z'
'-x,y,-z'
'x,-y,z'
'x+1/2,y+1/2,z'
'-x+1/2,-y+1/2,-z'
'-x+1/2,y+1/2,-z'
'x+1/2,-y+1/2,z'
loop_
_atom_site_label
_atom_site_type_symbol
_atom_site_fract_x
_atom_site_fract_y
_atom_site_fract_z
Ti1 Ti 0.082 0.248 0.254
Ti2 Ti 0.168 0.000 0.744
Tl1 Tl 0.167 0.500 0.755
H1 H 0.000 0.000 0.500
```

Summary:
Its offset from the most stable computed form is 28 meV per atom. The magnetic moment is 0.000 Bohr magnetons per cell.

=====

7.
Entry from the Alexandria database: a geometry-optimized TiTl3H structure (PBE).

Geometry as CIF:
```
data_TiTl3H
_space_group_name_H-M_alt 'P m -3 m'
_space_group_IT_number 221
_space_group_name_Hall '-P 4 2 3'
_cell_length_a 4.675
_cell_length_b 4.675
_cell_length_c 4.675
_cell_angle_alpha 90.00
_cell_angle_beta 90.00
_cell_angle_gamma 90.00
loop_
_atom_site_label
_atom_site_type_symbol
_atom_site_fract_x
_atom_site_fract_y
_atom_site_fract_z
Ti1 Ti 0.000 0.000 0.000
Tl1 Tl 0.000 0.500 0.500
H1 H 0.500 0.500 0.500
```

Summary:
The magnetic moment is 0.000 Bohr magnetons per cell. The total energy is -3.181 eV per atom.

=====

8.
Entry from the Alexandria database: a geometry-optimized Ti3TlH structure (PBE).

Geometry as CIF:
```
data_Ti3TlH
_space_group_name_H-M_alt 'C m c m'
_space_group_IT_number 63
_space_group_name_Hall '-C 2c 2'
_cell_length_a 5.538
_cell_length_b 10.357
_cell_length_c 5.518
_cell_angle_alpha 90.00
_cell_angle_beta 90.00
_cell_angle_gamma 90.00
loop_
_atom_site_label
_atom_site_type_symbol
_atom_site_fract_x
_atom_site_fract_y
_atom_site_fract_z
Ti1 Ti 0.000 0.000 0.000
Ti2 Ti 0.242 0.281 0.250
Tl1 Tl 0.000 0.453 0.750
H1 H 0.000 0.113 0.750
```

Summary:
The magnetic moment is 0.000 Bohr magnetons per cell. The total energy is -5.808 eV per atom.

=====

9.
Entry from the Alexandria database: a geometry-optimized Ti3TlH structure (PBE).

Geometry as CIF:
```
data_Ti3TlH
_space_group_name_H-M_alt 'R 3 m'
_space_group_IT_number 160
_space_group_name_Hall 'R 3 -2"'
_cell_length_a 7.8637
_cell_length_b 7.8637
_cell_length_c 4.7071
_cell_angle_alpha 90.00
_cell_angle_beta 90.00
_cell_angle_gamma 120.00
loop_
_atom_site_label
_atom_site_type_symbol
_atom_site_fract_x
_atom_site_fract_y
_atom_site_fract_z
Ti1 Ti 0.2029 0.4057 0.0000
Tl1 Tl 0.0000 0.0000 0.8381
H1 H 0.0000 0.0000 0.3697
```

Summary:
The magnetic moment is 0.000 Bohr magnetons per cell. The total energy is -5.504 eV per atom.

=====

10.
Entry from the Alexandria database: a geometry-optimized TiTlH2 structure (PBE).

Geometry as CIF:
```
data_TiTlH2
_space_group_name_H-M_alt 'I -4 2 d'
_space_group_IT_number 122
_space_group_name_Hall 'I -4 2bw'
_cell_length_a 4.343
_cell_length_b 4.343
_cell_length_c 10.975
_cell_angle_alpha 90.00
_cell_angle_beta 90.00
_cell_angle_gamma 90.00
loop_
_atom_site_label
_atom_site_type_symbol
_atom_site_fract_x
_atom_site_fract_y
_atom_site_fract_z
Ti1 Ti 0.000 0.000 0.000
Tl1 Tl 0.000 0.000 0.500
H1 H 0.002 0.250 0.125
```

Summary:
Its offset from the most stable computed form is 0 meV per atom. The magnetic moment is 0.001 Bohr magnetons per cell.

=====

11.
Entry from the Alexandria database: a geometry-optimized TiTlH3 structure (PBE).

Geometry as CIF:
```
data_TiTlH3
_space_group_name_H-M_alt 'P m -3 m'
_space_group_IT_number 221
_space_group_name_Hall '-P 4 2 3'
_cell_length_a 3.771
_cell_length_b 3.771
_cell_length_c 3.771
_cell_angle_alpha 90.00
_cell_angle_beta 90.00
_cell_angle_gamma 90.00
loop_
_atom_site_label
_atom_site_type_symbol
_atom_site_fract_x
_atom_site_fract_y
_atom_site_fract_z
Ti1 Ti 0.000 0.000 0.000
Tl1 Tl 0.500 0.500 0.500
H1 H 0.000 0.000 0.500
```

Summary:
Its offset from the most stable computed form is 0 meV per atom. The magnetic moment is 0.000 Bohr magnetons per cell.

=====

12.
Entry from the Alexandria database: a geometry-optimized TiTlH3 structure (PBE).

Geometry as CIF:
```
data_TiTlH3
_space_group_name_H-M_alt 'P m -3 m'
_space_group_IT_number 221
_space_group_name_Hall '-P 4 2 3'
_cell_length_a 3.895
_cell_length_b 3.895
_cell_length_c 3.895
_cell_angle_alpha 90.00
_cell_angle_beta 90.00
_cell_angle_gamma 90.00
loop_
_atom_site_label
_atom_site_type_symbol
_atom_site_fract_x
_atom_site_fract_y
_atom_site_fract_z
Ti1 Ti 0.000 0.000 0.000
Tl1 Tl 0.500 0.500 0.500
H1 H 0.000 0.500 0.500
```

Summary:
Its offset from the most stable computed form is 913 meV per atom. The magnetic moment is 0.000 Bohr magnetons per cell.

=====

For the records above, the corresponding density of states at the Fermi level values read 10.6 11.3 11.2 19.0 10.3 13.0 3.1 17.1 19.6 13.1 3.2 2.3 states/eV per cell.